K2TaWO6 | GGA+U | optimized geometry

Lattice parameters (Å, degrees): 5.725 5.669 5.674 60.64 59.58 89.90
Each line ends with the local moment (μB).
Atoms (fractional coordinates):
K 0.749 0.251 0.502  0.00
K 0.251 0.749 0.498  0.00
Ta 0.000 0.000 0.000  0.05
W 0.500 0.500 0.000  0.93
O 0.250 0.247 0.501  0.00
O 0.753 0.751 0.998  0.00
O 0.250 0.750 0.997  0.00
O 0.750 0.250 0.003  0.00
O 0.247 0.249 0.002  0.00
O 0.750 0.753 0.499  0.00

## Properties
- Crystal system: monoclinic
- VASP energy: -74.50 eV/cell
- Space group: C2/m (12)

---

TbTl2MoO6 | GGA+U | optimized geometry

Lattice parameters (Å, degrees): 5.934 6.481 6.481 120.00 90.00 90.00
Atoms (fractional coordinates):
Tb 0.500 0.000 0.000
Tl 0.964 0.333 0.667
Tl 0.036 0.667 0.333
Mo 0.000 0.000 0.000
O 0.793 0.136 0.272
O 0.793 0.136 0.864
O 0.793 0.728 0.864
O 0.207 0.864 0.136
O 0.207 0.272 0.136
O 0.207 0.864 0.728

## Properties
- Crystal system: trigonal
- VASP energy: -61.80 eV/cell
- Space group: P-3m1 (164)